Material: TaAuI
Method: DFT, PBE
State: optimized geometry

Properties
The value obtained for the uncorrected formation energy is 346 meV/atom. For the density, the calculation gives 11.87 Mg/m³. The value obtained for the magnetization is 0.00 μB per formula unit. The space group is Amm2, No. 38.

Unit cell a=3.326 b=3.328 c=14.725 alpha=90.00 beta=90.00 gamma=119.98
Element x y z (fractional)
Au 0.559 0.117 0.000
I 0.288 0.577 0.217
Ta 0.621 0.243 0.354
Au 0.288 0.576 0.500
Ta 0.621 0.243 0.646
I 0.288 0.577 0.783